# AcDyS4

A relaxed structure of AcDyS4 (PBE-GGA, Alexandria via LeMat-Bulk).

Calculated values
Uncorrected energy, eV per atom: -5.77
Formation energy (no corrections), eV/f.u.: -9.409

Cell: 7.182 7.814 7.387 Å, 117.80 114.71 97.39°
Atoms (fractional coordinates):
S 0.395 0.667 0.865
S 0.196 0.333 0.350
S 0.605 0.333 0.135
S 0.654 0.018 0.350
S 0.970 0.198 0.865
S 0.030 0.802 0.135
S 0.804 0.667 0.650
S 0.346 0.982 0.650
Ac 0.622 0.372 0.744
Ac 0.378 0.628 0.256
Dy 0.235 0.985 0.970
Dy 0.765 0.015 0.030

=====

# AcDy3S6

A relaxed structure of AcDy3S6 (PBE-GGA, Alexandria via LeMat-Bulk).

Calculated values
Uncorrected energy, eV per atom: -6.40
Formation energy (no corrections), eV/f.u.: -21.295

Cell: 4.069 11.195 11.490 Å, 108.84 90.00 90.00°
Atoms (fractional coordinates):
S 0.750 0.478 0.610
S 0.250 0.083 0.911
S 0.250 0.277 0.732
S 0.750 0.917 0.089
S 0.750 0.125 0.463
S 0.750 0.723 0.268
S 0.250 0.201 0.248
S 0.250 0.522 0.390
S 0.750 0.799 0.752
S 0.750 0.391 0.053
S 0.250 0.609 0.947
S 0.250 0.875 0.537
Ac 0.250 0.946 0.302
Ac 0.750 0.054 0.698
Dy 0.250 0.838 0.910
Dy 0.750 0.451 0.834
Dy 0.250 0.549 0.166
Dy 0.250 0.323 0.499
Dy 0.750 0.162 0.090
Dy 0.750 0.677 0.501

=====

# Ac3Dy5S12

A relaxed structure of Ac3Dy5S12 (PBE-GGA, Alexandria via LeMat-Bulk).

Calculated values
Uncorrected energy, eV per atom: -6.28
Formation energy (no corrections), eV/f.u.: -40.643

Cell: 14.369 14.369 14.369 Å, 109.47 109.47 109.47°
Atoms (fractional coordinates):
S 0.285 0.873 0.961
S 0.825 0.913 0.285
S 0.461 0.785 0.873
S 0.285 0.413 0.825
S 0.627 0.588 0.913
S 0.088 0.175 0.461
S 0.873 0.587 0.912
S 0.087 0.912 0.373
S 0.912 0.087 0.873
S 0.088 0.913 0.127
S 0.588 0.961 0.675
S 0.413 0.285 0.325
S 0.825 0.912 0.039
S 0.215 0.539 0.627
S 0.412 0.373 0.587
S 0.873 0.285 0.461
S 0.373 0.412 0.087
S 0.373 0.961 0.785
S 0.627 0.039 0.215
S 0.715 0.127 0.039
S 0.588 0.627 0.413
S 0.913 0.825 0.785
S 0.039 0.627 0.715
S 0.325 0.785 0.413
S 0.325 0.539 0.412
S 0.675 0.461 0.588
S 0.413 0.127 0.588
S 0.785 0.461 0.373
S 0.715 0.587 0.175
S 0.913 0.088 0.627
S 0.039 0.412 0.825
S 0.175 0.087 0.715
S 0.961 0.373 0.285
S 0.539 0.215 0.127
S 0.912 0.825 0.539
S 0.175 0.088 0.961
S 0.539 0.325 0.912
S 0.087 0.175 0.215
S 0.127 0.715 0.539
S 0.785 0.325 0.913
S 0.587 0.873 0.412
S 0.127 0.413 0.088
S 0.675 0.215 0.587
S 0.961 0.588 0.175
S 0.412 0.039 0.325
S 0.587 0.715 0.675
S 0.461 0.675 0.088
S 0.215 0.675 0.087
Dy 0.500 0.500 0.500
Dy 0.250 0.375 0.625
Dy 0.625 0.875 0.250
Dy 0.500 0.500 0.000
Dy 0.250 0.875 0.125
Dy 0.375 0.125 0.750
Dy 0.875 0.625 0.750
Dy 0.750 0.125 0.875
Dy 0.125 0.375 0.250
Dy 0.750 0.625 0.375
Dy 0.875 0.250 0.625
Dy 0.125 0.750 0.375
Dy 0.000 0.500 0.500
Dy 0.500 0.000 0.000
Dy 0.000 0.000 0.500
Dy 0.375 0.250 0.125
Dy 0.500 0.000 0.500
Dy 0.000 0.500 0.000
Dy 0.625 0.750 0.875
Dy 0.000 0.000 0.000
Ac 0.750 0.875 0.625
Ac 0.750 0.375 0.125
Ac 0.375 0.750 0.625
Ac 0.125 0.250 0.875
Ac 0.250 0.625 0.875
Ac 0.625 0.375 0.750
Ac 0.625 0.250 0.375
Ac 0.875 0.750 0.125
Ac 0.375 0.625 0.250
Ac 0.250 0.125 0.375
Ac 0.875 0.125 0.250
Ac 0.125 0.875 0.750

=====

# Ac2DyS4

A relaxed structure of Ac2DyS4 (PBE-GGA, Alexandria via LeMat-Bulk).

Calculated values
Energy relative to the lowest polymorph listed for this composition, meV per atom: 0
Uncorrected energy, eV per atom: -6.23
Formation energy (no corrections), eV/f.u.: -14.268

Cell: 7.074 7.822 14.560 Å, 90.00 90.00 90.00°
Atoms (fractional coordinates):
S 0.125 0.455 0.179
S 0.315 0.801 0.458
S 0.375 0.955 0.179
S 0.625 0.455 0.321
S 0.315 0.699 0.958
S 0.685 0.199 0.542
S 0.185 0.199 0.958
S 0.125 0.045 0.679
S 0.185 0.301 0.458
S 0.375 0.545 0.679
S 0.815 0.699 0.542
S 0.875 0.545 0.821
S 0.625 0.045 0.821
S 0.685 0.301 0.042
S 0.815 0.801 0.042
S 0.875 0.955 0.321
Ac 0.004 0.901 0.858
Ac 0.504 0.901 0.642
Ac 0.496 0.099 0.358
Ac 0.496 0.401 0.858
Ac 0.996 0.401 0.642
Ac 0.004 0.599 0.358
Ac 0.504 0.599 0.142
Ac 0.996 0.099 0.142
Dy 0.000 0.500 0.000
Dy 0.500 0.500 0.500
Dy 0.000 0.000 0.500
Dy 0.500 0.000 0.000

=====

Copy entry 4 word for word.
# Ac2DyS4

A relaxed structure of Ac2DyS4 (PBE-GGA, Alexandria via LeMat-Bulk).

Calculated values
Energy relative to the lowest polymorph listed for this composition, meV per atom: 0
Uncorrected energy, eV per atom: -6.23
Formation energy (no corrections), eV/f.u.: -14.268

Cell: 7.074 7.822 14.560 Å, 90.00 90.00 90.00°
Atoms (fractional coordinates):
S 0.125 0.455 0.179
S 0.315 0.801 0.458
S 0.375 0.955 0.179
S 0.625 0.455 0.321
S 0.315 0.699 0.958
S 0.685 0.199 0.542
S 0.185 0.199 0.958
S 0.125 0.045 0.679
S 0.185 0.301 0.458
S 0.375 0.545 0.679
S 0.815 0.699 0.542
S 0.875 0.545 0.821
S 0.625 0.045 0.821
S 0.685 0.301 0.042
S 0.815 0.801 0.042
S 0.875 0.955 0.321
Ac 0.004 0.901 0.858
Ac 0.504 0.901 0.642
Ac 0.496 0.099 0.358
Ac 0.496 0.401 0.858
Ac 0.996 0.401 0.642
Ac 0.004 0.599 0.358
Ac 0.504 0.599 0.142
Ac 0.996 0.099 0.142
Dy 0.000 0.500 0.000
Dy 0.500 0.500 0.500
Dy 0.000 0.000 0.500
Dy 0.500 0.000 0.000